Record 1
! NaV2ZnGa PBE optimized geometry; values from VASP
&SYSTEM
  ibrav = 0, nat = 5, ntyp = 4
/
ATOMIC_SPECIES
Na 22.99 Na.upf
Zn 65.41 Zn.upf
Ga 69.72 Ga.upf
V 50.94 V.upf
ATOMIC_POSITIONS crystal
Na 0.000 0.000 0.000
Zn 0.500 0.500 0.500
Ga 0.000 0.500 0.000
V 0.000 0.000 0.500
V 0.500 0.000 0.000
CELL_PARAMETERS angstrom
-3.899 -2.116 -1.979
2.075 0.220 -4.323
1.997 -4.367 0.736
! D(E_F): 1.295 states/eV per atom
! V: 113 Å³/cell
! total moment: 1.358 μB per atom
! energy of formation: 8.41 eV/f.u.

---

Record 2
! NaGaW2 PBE optimized geometry; values from VASP
&SYSTEM
  ibrav = 0, nat = 8, ntyp = 3
/
ATOMIC_SPECIES
Na 22.99 Na.upf
Ga 69.72 Ga.upf
W 183.84 W.upf
ATOMIC_POSITIONS crystal
Na 0.500 0.500 0.000
Na 0.250 0.750 0.500
Ga 0.000 0.000 0.000
Ga 0.750 0.250 0.500
W 0.640 0.125 0.250
W 0.110 0.625 0.250
W 0.375 0.360 0.750
W 0.875 0.890 0.750
CELL_PARAMETERS angstrom
3.797 0.000 0.000
0.000 3.797 0.000
1.898 1.898 10.046
! D(E_F): 0.549 states/eV per atom
! V: 145 Å³/cell
! total moment: 0.000 μB per atom
! energy of formation: 4.18 eV/f.u.

---

Record 3
! Na2GaW PBE optimized geometry; values from VASP
&SYSTEM
  ibrav = 0, nat = 8, ntyp = 3
/
ATOMIC_SPECIES
Na 22.99 Na.upf
Ga 69.72 Ga.upf
W 183.84 W.upf
ATOMIC_POSITIONS crystal
Na 0.599 0.125 0.250
Na 0.151 0.625 0.250
Na 0.375 0.401 0.750
Na 0.875 0.849 0.750
Ga 0.500 0.500 0.000
Ga 0.250 0.750 0.500
W 0.000 0.000 0.000
W 0.750 0.250 0.500
CELL_PARAMETERS angstrom
-2.809 5.246 -5.841
-6.004 2.561 5.187
-2.810 5.783 0.594
! D(E_F): 0.520 states/eV per atom
! V: 183 Å³/cell
! total moment: 0.730 μB per atom
! energy of formation: 4.77 eV/f.u.